# PBE GdPaPd4, optimized geometry
data_GdPaPd4
_chemical_formula_sum 'Gd4 Pa4 Pd16'
_cell_length_a 7.7116
_cell_length_b 7.7116
_cell_length_c 7.7116
_cell_angle_alpha 90.00
_cell_angle_beta 90.00
_cell_angle_gamma 90.00
_symmetry_space_group_name_H-M 'F -4 3 m'
_symmetry_Int_Tables_number 216
_symmetry_space_group_name_Hall 'F -4 2 3'
loop_
_atom_site_label
_atom_site_fract_x
_atom_site_fract_y
_atom_site_fract_z
_atom_site_occupancy
Gd1 0.0000 0.0000 0.0000 1
Pa1 0.2500 0.2500 0.2500 1
Pd1 0.1249 0.1249 0.6249 1
# Crystal system: cubic
# Magnetic moment (μB/atom): 1.403
# Electronic total energy (eV per atom): -7.991
# DOS at the Fermi energy (states/eV/atom): 1.37
# Formation energy from the elements (meV/atom): -600